Record 1
Here is Ca2Al4SiPd3 after structural relaxation from Alexandria. Energies are from PBE.

Structure (POSCAR):
```
Ca2Al4SiPd3
1.0
-0.6138 2.5924 3.2639
-1.6925 -3.1698 2.1994
9.7205 -2.5284 3.8363
Pd Al Ca Si
3 4 2 1
direct
0.5000 0.0000 0.8676 Pd
0.0000 0.5000 0.1324 Pd
0.0000 0.0000 0.5000 Pd
0.0000 0.5000 0.3649 Al
0.5000 0.5000 0.0000 Al
0.0000 0.0000 0.0000 Al
0.5000 0.0000 0.6351 Al
0.0000 0.5000 0.7484 Ca
0.5000 0.0000 0.2516 Ca
0.5000 0.5000 0.5000 Si
```

## Properties
formation energy from raw total energies = -669 meV per atom



Record 2
Here is TmBeCu3 after structural relaxation from Alexandria. Energies are from PBE.

Structure (POSCAR):
```
TmBeCu3
1.0
-3.4938 3.3391 0.5138
-0.3387 -1.2354 5.7266
3.6897 4.1518 -1.8929
Be Cu Tm
2 6 2
direct
0.0000 0.0000 0.0000 Be
0.5000 0.0000 0.0000 Be
0.2500 0.8133 0.6267 Cu
0.2500 0.3734 0.1866 Cu
0.7500 0.1867 0.3733 Cu
0.2500 0.8132 0.1865 Cu
0.7500 0.6266 0.8134 Cu
0.7500 0.1868 0.8135 Cu
0.2500 0.3332 0.6666 Tm
0.7500 0.6668 0.3334 Tm
```

## Properties
DFT formation energy = -0.13 eV/atom



Going through the records in order, we get theoretical density values of 4.7, 8.4 g cm⁻³.
Going through the records in order, we get V values of 19.1, 14.5 Å³ per atom.